# 1
Dy3ZnCo8 after structural relaxation, computed with PBE-GGA.

Structure (CIF):
```
data_Dy3ZnCo8
_symmetry_space_group_name_H-M 'P 1'
_symmetry_Int_Tables_number 1
_symmetry_space_group_name_Hall 'P 1'
_cell_length_a 4.980
_cell_length_b 4.980
_cell_length_c 8.654
_cell_angle_alpha 73.28
_cell_angle_beta 73.28
_cell_angle_gamma 60.00
loop_
_atom_site_label
_atom_site_type_symbol
_atom_site_fract_x
_atom_site_fract_y
_atom_site_fract_z
Dy1 Dy 0.994 0.994 0.019
Dy2 Dy 0.376 0.376 0.872
Dy3 Dy 0.504 0.504 0.487
Co1 Co 0.437 0.935 0.192
Co2 Co 0.938 0.443 0.681
Co3 Co 0.443 0.938 0.681
Co4 Co 0.935 0.437 0.192
Co5 Co 0.189 0.189 0.434
Co6 Co 0.688 0.688 0.937
Co7 Co 0.938 0.938 0.681
Co8 Co 0.437 0.437 0.192
Zn1 Zn 0.872 0.872 0.383
```

Output
- formation energy from the elements (eV per atom) = -0.169



# 2
Rb2Ag2Te after structural relaxation, computed with PBE-GGA.

Structure (CIF):
```
data_Rb2Ag2Te
_symmetry_space_group_name_H-M 'P 1'
_symmetry_Int_Tables_number 1
_symmetry_space_group_name_Hall 'P 1'
_cell_length_a 7.961
_cell_length_b 7.961
_cell_length_c 5.340
_cell_angle_alpha 90.00
_cell_angle_beta 90.00
_cell_angle_gamma 90.00
loop_
_atom_site_label
_atom_site_type_symbol
_atom_site_fract_x
_atom_site_fract_y
_atom_site_fract_z
Te1 Te 0.500 0.500 0.000
Te2 Te 0.000 0.000 0.000
Ag1 Ag 0.121 0.379 0.000
Ag2 Ag 0.621 0.121 0.000
Ag3 Ag 0.879 0.621 0.000
Ag4 Ag 0.379 0.879 0.000
Rb1 Rb 0.311 0.189 0.500
Rb2 Rb 0.189 0.689 0.500
Rb3 Rb 0.811 0.311 0.500
Rb4 Rb 0.689 0.811 0.500
```

Output
- raw formation energy (eV per atom) = -0.256



Total moment across the listed records, respectively: 8.515 0.000 μB per formula unit.
Calculated volume across the listed records, respectively: 175.3 169.2 Å³/f.u..